(1)
DFT (PBE) results for AcPmNdSb after structural relaxation.

Cell and atoms, written as CIF:
```
data_AcPmNdSb
_cell_length_a 7.985
_cell_length_b 7.985
_cell_length_c 7.985
_cell_angle_alpha 90.00
_cell_angle_beta 90.00
_cell_angle_gamma 90.00
_symmetry_space_group_name_H-M 'F -4 3 m'
_symmetry_Int_Tables_number 216
_symmetry_space_group_name_Hall 'F -4 2 3'
loop_
_atom_site_label
_atom_site_fract_x
_atom_site_fract_y
_atom_site_fract_z
Ac1 0.000 0.000 0.000
Pm1 0.250 0.250 0.250
Nd1 0.250 0.250 0.750
Sb1 0.000 0.000 0.500
```

Raw formation energy, eV per atom: -0.294
Total energy, Ry/atom: -0.348

***

(2)
DFT (PBE) results for Ac4DyHg5 after structural relaxation.

Cell and atoms, written as CIF:
```
data_Ac4DyHg5
_cell_length_a 3.962
_cell_length_b 3.962
_cell_length_c 20.101
_cell_angle_alpha 90.00
_cell_angle_beta 90.00
_cell_angle_gamma 90.00
_symmetry_space_group_name_H-M 'P 4/m m m'
_symmetry_Int_Tables_number 123
_symmetry_space_group_name_Hall '-P 4 2'
loop_
_atom_site_label
_atom_site_fract_x
_atom_site_fract_y
_atom_site_fract_z
Ac1 0.000 0.000 0.103
Ac2 0.000 0.000 0.310
Dy1 0.000 0.000 0.500
Hg1 0.500 0.500 0.000
Hg2 0.500 0.500 0.206
Hg3 0.500 0.500 0.417
```

ΔH_f (0 K), eV per atom: -0.461
Total energy, Ry/atom: -0.200

***

(3)
DFT (PBE) results for VPd3Se after structural relaxation.

Cell and atoms, written as CIF:
```
data_VPd3Se
_cell_length_a 4.647
_cell_length_b 4.647
_cell_length_c 4.647
_cell_angle_alpha 90.00
_cell_angle_beta 90.00
_cell_angle_gamma 90.00
_symmetry_space_group_name_H-M 'P m -3 m'
_symmetry_Int_Tables_number 221
_symmetry_space_group_name_Hall '-P 4 2 3'
loop_
_atom_site_label
_atom_site_fract_x
_atom_site_fract_y
_atom_site_fract_z
V1 0.000 0.000 0.000
Pd1 0.000 0.000 0.500
Se1 0.500 0.500 0.500
```

Raw formation energy, eV per atom: 0.747
Offset from the most stable computed form, meV/atom: 347
Total energy, Ry/atom: -0.359

***

(4)
DFT (PBE) results for Rb3Pu3HfTe8 after structural relaxation.

Cell and atoms, written as CIF:
```
data_Rb3Pu3HfTe8
_cell_length_a 8.9304
_cell_length_b 8.9304
_cell_length_c 26.1807
_cell_angle_alpha 90.00
_cell_angle_beta 90.00
_cell_angle_gamma 120.00
_symmetry_space_group_name_H-M 'R -3 m'
_symmetry_Int_Tables_number 166
_symmetry_space_group_name_Hall '-R 3 2"'
loop_
_atom_site_label
_atom_site_fract_x
_atom_site_fract_y
_atom_site_fract_z
Rb1 0.0000 0.5000 0.0000
Pu1 0.0000 0.5000 0.5000
Hf1 0.0000 0.0000 0.5000
Te1 0.0000 0.0000 0.2336
Te2 0.0198 0.5099 0.2303
```

Raw formation energy, eV per atom: -1.037
Total energy, Ry/atom: -0.473